# 1
First-principles (PBE-GGA) data for a relaxed structure of Na2LiNpSe4, as listed in Alexandria via LeMat-Bulk.

Lattice parameters (Å, degrees): 4.146 6.904 7.248 108.32 90.00 90.00
Each line ends with the local moment (μB).
Positions (direct):
Se1 0.000 0.753 0.220  -0.15
Se2 0.500 0.238 0.222  -0.12
Na1 0.500 0.000 0.500  0.00
Li1 0.500 0.500 0.000  0.00
Np1 0.000 0.000 0.000  2.80
Na2 0.000 0.500 0.500  0.00
Se3 0.500 0.762 0.778  -0.12
Se4 0.000 0.247 0.780  -0.15

Values from the calculation:
The space group is P2/m. The density of states at the Fermi level comes out at 4.23 states/eV/cell. The calculation puts the total energy at -5.02 eV per atom.

# 2
First-principles (PBE-GGA) data for a relaxed structure of Na4LiNp3Se8, as listed in Alexandria via LeMat-Bulk.

Lattice parameters (Å, degrees): 8.304 8.406 8.304 119.60 120.00 90.00
Each line ends with the local moment (μB).
Positions (direct):
Np1 0.500 0.500 0.500  3.59
Se1 0.264 0.276 0.020  -0.11
Se2 0.256 0.268 0.512  -0.09
Na1 0.500 0.000 0.500  0.00
Na2 0.000 0.000 0.000  0.00
Se3 0.244 0.724 0.980  -0.11
Se4 0.244 0.724 0.488  -0.11
Np2 0.500 0.500 0.000  3.59
Np3 0.000 0.500 0.500  3.59
Se5 0.736 0.724 0.980  -0.11
Na3 0.000 0.000 0.500  0.00
Se6 0.744 0.732 0.488  -0.09
Li1 0.000 0.500 0.000  0.00
Se7 0.756 0.276 0.020  -0.11
Na4 0.500 0.000 0.000  0.00
Se8 0.756 0.276 0.512  -0.11

Values from the calculation:
The space group is R-3m. The density of states at the Fermi level comes out at 29.04 states/eV/cell. The calculation puts the total energy at -5.81 eV per atom.

# 3
First-principles (PBE-GGA) data for a relaxed structure of Na2Li2NpSe4, as listed in Alexandria via LeMat-Bulk.

Lattice parameters (Å, degrees): 4.166 7.679 7.917 115.99 105.25 90.00
Each line ends with the local moment (μB).
Positions (direct):
Li1 0.680 0.982 0.361  0.00
Na1 0.150 0.541 0.301  0.00
Li2 0.320 0.018 0.639  0.00
Se1 0.210 0.194 0.419  -0.06
Se2 0.502 0.252 0.004  -0.10
Na2 0.850 0.459 0.699  0.00
Se3 0.790 0.806 0.581  -0.06
Np1 0.000 0.000 0.000  3.37
Se4 0.498 0.748 0.996  -0.10

Values from the calculation:
The space group is C2/m. The density of states at the Fermi level comes out at 10.12 states/eV/cell. The calculation puts the total energy at -4.86 eV per atom.

# 4
First-principles (PBE-GGA) data for a relaxed structure of NaLiNpSe3, as listed in Alexandria via LeMat-Bulk.

Lattice parameters (Å, degrees): 4.178 10.324 7.400 99.44 90.00 90.00
Each line ends with the local moment (μB).
Positions (direct):
Se1 0.250 0.182 0.997  -0.13
Se2 0.750 0.506 0.223  -0.12
Se3 0.750 0.818 0.003  -0.13
Na1 0.750 0.677 0.619  0.00
Np1 0.750 0.326 0.880  3.38
Se4 0.750 0.172 0.540  -0.09
Se5 0.250 0.828 0.460  -0.09
Se6 0.250 0.494 0.777  -0.12
Np2 0.250 0.674 0.120  3.38
Na2 0.250 0.323 0.381  0.00
Li1 0.750 0.940 0.340  0.00
Li2 0.250 0.060 0.660  0.00

Values from the calculation:
The space group is P2_1/m. The density of states at the Fermi level comes out at 15.54 states/eV/cell. The calculation puts the total energy at -5.60 eV per atom.

# 5
First-principles (PBE-GGA) data for a relaxed structure of NaLi3Np2Se6, as listed in Alexandria via LeMat-Bulk.

Lattice parameters (Å, degrees): 4.094 8.106 8.855 101.56 103.37 90.00
Each line ends with the local moment (μB).
Positions (direct):
Se1 0.669 0.576 0.338  -0.12
Np1 0.161 0.324 0.322  3.40
Na1 0.500 0.000 0.000  0.00
Se2 0.331 0.424 0.662  -0.12
Li1 0.500 0.500 0.000  0.00
Se3 0.001 0.268 0.003  -0.13
Se4 0.674 0.092 0.349  -0.11
Np2 0.839 0.676 0.678  3.40
Li2 0.839 0.166 0.679  -0.01
Li3 0.161 0.834 0.321  -0.01
Se5 0.326 0.908 0.651  -0.11
Se6 0.999 0.732 0.997  -0.13

Values from the calculation:
The space group is C2/m. The density of states at the Fermi level comes out at 14.24 states/eV/cell. The calculation puts the total energy at -5.64 eV per atom.

# 6
First-principles (PBE-GGA) data for a relaxed structure of NaLi2Np3Se6, as listed in Alexandria via LeMat-Bulk.

Lattice parameters (Å, degrees): 4.131 8.180 9.165 102.09 103.02 90.00
Each line ends with the local moment (μB).
Positions (direct):
Np1 0.500 0.500 0.000  3.92
Se1 0.331 0.916 0.661  -0.08
Na1 0.500 0.000 0.000  0.00
Li1 0.831 0.664 0.663  0.00
Se2 0.000 0.742 0.999  -0.08
Se3 0.669 0.084 0.339  -0.08
Np2 0.834 0.169 0.667  3.95
Se4 0.667 0.582 0.334  -0.08
Li2 0.169 0.336 0.337  0.00
Np3 0.166 0.831 0.333  3.95
Se5 0.000 0.258 0.001  -0.08
Se6 0.333 0.418 0.666  -0.08

Values from the calculation:
The space group is C2/m. The density of states at the Fermi level comes out at 31.89 states/eV/cell. The calculation puts the total energy at -6.60 eV per atom.

# 7
First-principles (PBE-GGA) data for a relaxed structure of NaLiNp2Te4, as listed in Alexandria via LeMat-Bulk.

Lattice parameters (Å, degrees): 4.438 7.563 15.694 90.00 90.00 107.06
Each line ends with the local moment (μB).
Positions (direct):
Te1 0.725 0.451 0.614  -0.09
Te2 0.000 0.000 0.000  -0.11
Na1 0.884 0.769 0.250  0.00
Te3 0.000 0.000 0.500  -0.11
Te4 0.275 0.549 0.114  -0.09
Np1 0.633 0.267 0.065  4.00
Te5 0.275 0.549 0.386  -0.09
Np2 0.633 0.267 0.435  4.00
Np3 0.367 0.733 0.565  4.00
Np4 0.367 0.733 0.935  4.00
Te6 0.449 0.898 0.750  -0.07
Na2 0.116 0.231 0.750  0.00
Te7 0.551 0.102 0.250  -0.07
Li1 0.157 0.315 0.250  0.00
Te8 0.725 0.451 0.886  -0.09
Li2 0.843 0.685 0.750  0.00

Values from the calculation:
The space group is Cmcm. The density of states at the Fermi level comes out at 44.08 states/eV/cell. The calculation puts the total energy at -5.98 eV per atom.

# 8
First-principles (PBE-GGA) data for a relaxed structure of Na3LiNp3Te8, as listed in Alexandria via LeMat-Bulk.

Lattice parameters (Å, degrees): 8.820 8.818 9.056 119.14 90.10 119.99
Each line ends with the local moment (μB).
Positions (direct):
Na1 0.000 0.500 0.000  0.00
Na2 0.000 0.000 0.000  0.00
Te1 0.733 0.979 0.726  -0.15
Te2 0.246 0.981 0.726  -0.03
Te3 0.754 0.509 0.274  -0.03
Np1 0.500 0.000 0.500  3.57
Li1 0.000 0.000 0.500  0.00
Np2 0.000 0.500 0.500  -3.56
Te4 0.255 0.508 0.262  -0.04
Te5 0.267 0.021 0.274  -0.15
Te6 0.246 0.491 0.726  -0.03
Te7 0.754 0.019 0.274  -0.03
Np3 0.500 0.500 0.500  3.57
Na3 0.500 0.500 0.000  0.00
Te8 0.745 0.492 0.738  -0.04

Values from the calculation:
The space group is C2/m. The density of states at the Fermi level comes out at 23.50 states/eV/cell. The calculation puts the total energy at -5.37 eV per atom.

# 9
First-principles (PBE-GGA) data for a relaxed structure of Na3LiNp2Te6, as listed in Alexandria via LeMat-Bulk.

Lattice parameters (Å, degrees): 7.666 7.666 7.855 99.36 99.36 119.99
Each line ends with the local moment (μB).
Positions (direct):
Li1 0.000 0.000 0.000  -0.01
Te1 0.262 0.262 0.772  -0.13
Np1 0.667 0.333 0.000  3.55
Na1 0.165 0.835 0.500  0.00
Te2 0.738 0.738 0.228  -0.13
Te3 0.924 0.586 0.773  -0.13
Te4 0.076 0.414 0.227  -0.13
Na2 0.835 0.165 0.500  0.00
Te5 0.586 0.924 0.773  -0.13
Na3 0.500 0.500 0.500  0.00
Te6 0.414 0.076 0.227  -0.13
Np2 0.333 0.667 0.000  3.55

Values from the calculation:
The space group is C2/m. The density of states at the Fermi level comes out at 15.13 states/eV/cell. The calculation puts the total energy at -5.03 eV per atom.

# 10
First-principles (PBE-GGA) data for a relaxed structure of NaLi2Np3Te6, as listed in Alexandria via LeMat-Bulk.

Lattice parameters (Å, degrees): 4.436 8.824 9.886 102.03 102.97 90.00
Each line ends with the local moment (μB).
Positions (direct):
Li1 0.168 0.334 0.336  0.00
Te1 0.669 0.085 0.338  -0.07
Te2 0.332 0.419 0.663  -0.04
Te3 0.999 0.745 0.997  0.03
Np1 0.500 0.500 0.000  -3.96
Te4 0.001 0.255 0.003  0.03
Li2 0.832 0.666 0.664  0.00
Te5 0.668 0.581 0.337  -0.04
Te6 0.331 0.915 0.662  -0.07
Np2 0.167 0.832 0.333  3.99
Na1 0.500 0.000 0.000  0.00
Np3 0.833 0.168 0.667  3.99

Values from the calculation:
The space group is C2/m. The density of states at the Fermi level comes out at 26.97 states/eV/cell. The calculation puts the total energy at -6.01 eV per atom.

# 11
First-principles (PBE-GGA) data for a relaxed structure of NaLi3O, as listed in Alexandria via LeMat-Bulk.

Lattice parameters (Å, degrees): 4.787 4.787 4.787 90.00 90.00 90.00
Positions (direct):
Li1 0.500 0.000 0.000
Na1 0.000 0.000 0.000
Li2 0.000 0.500 0.000
Li3 0.000 0.000 0.500
O1 0.500 0.500 0.500

Values from the calculation:
The space group is Pm-3m. The density of states at the Fermi level comes out at 0.00 states/eV/cell. The calculation puts the total energy at -1.83 eV per atom.

no.,spin magnetization (μB per cell)
1,2.00
2,10.00
3,3.00
4,6.00
5,6.00
6,12.00
7,16.00
8,2.84
9,6.00
10,3.96
11,0.00